Entry i
A plane-wave DFT calculation with PBE-GGA was carried out for BeP2OF after structural relaxation.

Calculated values
Crystal system ... tetragonal

abc: 3.9602 3.9602 4.3581
angles: 90.00 90.00 90.00
Element x y z (fractional)
Be (0.0000, 0.0000, 0.0000)
P (0.0000, 0.5000, 0.5000)
P (0.5000, 0.0000, 0.5000)
O (0.5000, 0.5000, 0.0000)
F (0.5000, 0.5000, 0.5000)

---

Entry ii
A plane-wave DFT calculation with PBE-GGA was carried out for BeP2OF after structural relaxation.

Calculated values
Crystal system ... tetragonal

abc: 4.7802 4.7802 2.8746
angles: 90.00 90.00 90.00
Element x y z (fractional)
Be (0.0000, 0.0000, 0.0000)
P (0.0000, 0.5000, 0.0000)
P (0.5000, 0.0000, 0.0000)
O (0.0000, 0.0000, 0.5000)
F (0.5000, 0.5000, 0.5000)

---

Which of them is least stable? Easy: entry i.

---

Entry i
A plane-wave DFT calculation with PBE-GGA was carried out for BeRhOF2 after structural relaxation.

Calculated values
Crystal system ... tetragonal

abc: 3.1239 3.1239 5.8184
angles: 90.00 90.00 90.00
Element x y z (fractional)
Be (0.0000, 0.0000, 0.0000)
Rh (0.5000, 0.5000, 0.5000)
O (0.0000, 0.0000, 0.5000)
F (0.0000, 0.5000, 0.0000)
F (0.5000, 0.0000, 0.0000)

---

Entry ii
A plane-wave DFT calculation with PBE-GGA was carried out for BeRhOF2 after structural relaxation.

Calculated values
Crystal system ... tetragonal

abc: 4.3167 4.3167 3.7319
angles: 90.00 90.00 90.00
Element x y z (fractional)
Be (0.0000, 0.0000, 0.0000)
Rh (0.5000, 0.5000, 0.5000)
O (0.5000, 0.5000, 0.0000)
F (0.0000, 0.5000, 0.5000)
F (0.5000, 0.0000, 0.5000)

---

Which of them is least stable? Easy: entry ii.

---

Entry i
A plane-wave DFT calculation with PBE-GGA was carried out for BeSeOF2 after structural relaxation.

Calculated values
Crystal system ... tetragonal

abc: 3.1873 3.1873 6.5586
angles: 90.00 90.00 90.00
Element x y z (fractional)
Be (0.0000, 0.0000, 0.0000)
Se (0.5000, 0.5000, 0.5000)
O (0.0000, 0.0000, 0.5000)
F (0.0000, 0.5000, 0.0000)
F (0.5000, 0.0000, 0.0000)

---

Entry ii
A plane-wave DFT calculation with PBE-GGA was carried out for BeSeOF2 after structural relaxation.

Calculated values
Crystal system ... tetragonal

abc: 4.5002 4.5002 3.7605
angles: 90.00 90.00 90.00
Element x y z (fractional)
Be (0.0000, 0.0000, 0.0000)
Se (0.5000, 0.5000, 0.5000)
O (0.5000, 0.5000, 0.0000)
F (0.0000, 0.5000, 0.5000)
F (0.5000, 0.0000, 0.5000)

---

Which of them is least stable? Easy: entry ii.

---

Entry i
A plane-wave DFT calculation with PBE-GGA was carried out for BeSnOF2 after structural relaxation.

Calculated values
Crystal system ... tetragonal

abc: 4.4092 4.4092 4.0567
angles: 90.00 90.00 90.00
Element x y z (fractional)
Be (0.0000, 0.0000, 0.0000)
Sn (0.5000, 0.5000, 0.5000)
O (0.5000, 0.5000, 0.0000)
F (0.0000, 0.5000, 0.5000)
F (0.5000, 0.0000, 0.5000)

---

Entry ii
A plane-wave DFT calculation with PBE-GGA was carried out for BeSnOF2 after structural relaxation.

Calculated values
Crystal system ... tetragonal

abc: 3.7702 3.7702 3.7274
angles: 90.00 90.00 90.00
Element x y z (fractional)
Be (0.0000, 0.0000, 0.0000)
Sn (0.5000, 0.5000, 0.5000)
O (0.0000, 0.0000, 0.5000)
F (0.0000, 0.5000, 0.0000)
F (0.5000, 0.0000, 0.0000)

---

Which of them is least stable? Easy: entry i.

---

Entry i
A plane-wave DFT calculation with PBE-GGA was carried out for BeTeOF2 after structural relaxation.

Calculated values
Crystal system ... tetragonal

abc: 4.5856 4.5856 4.0733
angles: 90.00 90.00 90.00
Element x y z (fractional)
Be (0.0000, 0.0000, 0.0000)
Te (0.5000, 0.5000, 0.5000)
O (0.5000, 0.5000, 0.0000)
F (0.0000, 0.5000, 0.5000)
F (0.5000, 0.0000, 0.5000)

---

Entry ii
A plane-wave DFT calculation with PBE-GGA was carried out for BeTeOF2 after structural relaxation.

Calculated values
Crystal system ... tetragonal

abc: 4.9789 4.9789 2.8458
angles: 90.00 90.00 90.00
Element x y z (fractional)
Be (0.0000, 0.0000, 0.0000)
Te (0.5000, 0.5000, 0.0000)
O (0.0000, 0.0000, 0.5000)
F (0.0000, 0.5000, 0.5000)
F (0.5000, 0.0000, 0.5000)

---

Entry iii
A plane-wave DFT calculation with PBE-GGA was carried out for BeTeOF2 after structural relaxation.

Calculated values
Crystal system ... tetragonal

abc: 3.2927 3.2927 6.9206
angles: 90.00 90.00 90.00
Element x y z (fractional)
Be (0.0000, 0.0000, 0.0000)
Te (0.5000, 0.5000, 0.5000)
O (0.0000, 0.0000, 0.5000)
F (0.0000, 0.5000, 0.0000)
F (0.5000, 0.0000, 0.0000)

---

Which of them is least stable? Easy: entry i.

---

Entry i
A plane-wave DFT calculation with PBE-GGA was carried out for BeTlOF2 after structural relaxation.

Calculated values
Crystal system ... tetragonal

abc: 4.5099 4.5099 4.1606
angles: 90.00 90.00 90.00
Element x y z (fractional)
Be (0.0000, 0.0000, 0.0000)
Tl (0.5000, 0.5000, 0.5000)
O (0.5000, 0.5000, 0.0000)
F (0.0000, 0.5000, 0.5000)
F (0.5000, 0.0000, 0.5000)

---

Entry ii
A plane-wave DFT calculation with PBE-GGA was carried out for BeTlOF2 after structural relaxation.

Calculated values
Crystal system ... tetragonal

abc: 3.4712 3.4712 4.6305
angles: 90.00 90.00 90.00
Element x y z (fractional)
Be (0.0000, 0.0000, 0.0000)
Tl (0.5000, 0.5000, 0.5000)
O (0.0000, 0.0000, 0.5000)
F (0.0000, 0.5000, 0.0000)
F (0.5000, 0.0000, 0.0000)

---

Which of them is least stable? Easy: entry i.

---

Entry i
A plane-wave DFT calculation with PBE-GGA was carried out for BeZnOF2 after structural relaxation.

Calculated values
Crystal system ... tetragonal

abc: 3.2051 3.2051 4.4885
angles: 90.00 90.00 90.00
Element x y z (fractional)
Be (0.0000, 0.0000, 0.0000)
Zn (0.5000, 0.5000, 0.5000)
O (0.0000, 0.0000, 0.5000)
F (0.0000, 0.5000, 0.0000)
F (0.5000, 0.0000, 0.0000)

---

Entry ii
A plane-wave DFT calculation with PBE-GGA was carried out for BeZnOF2 after structural relaxation.

Calculated values
Crystal system ... tetragonal

abc: 3.8423 3.8423 4.0740
angles: 90.00 90.00 90.00
Element x y z (fractional)
Be (0.0000, 0.0000, 0.0000)
Zn (0.5000, 0.5000, 0.5000)
O (0.5000, 0.5000, 0.0000)
F (0.0000, 0.5000, 0.5000)
F (0.5000, 0.0000, 0.5000)

---

Which of them is least stable? Easy: entry ii.

---

Entry i
A plane-wave DFT calculation with PBE-GGA was carried out for Be3OsF after structural relaxation.

Calculated values
Crystal system ... cubic

abc: 4.2269 4.2269 4.2269
angles: 90.00 90.00 90.00
Element x y z (fractional)
Be (0.0000, 0.0000, 0.5000)
Be (0.0000, 0.5000, 0.0000)
Be (0.5000, 0.0000, 0.0000)
Os (0.0000, 0.0000, 0.0000)
F (0.5000, 0.5000, 0.5000)

---

Entry ii
A plane-wave DFT calculation with PBE-GGA was carried out for Be3OsF after structural relaxation.

Calculated values
Crystal system ... cubic

abc: 3.6209 3.6209 3.6209
angles: 90.00 90.00 90.00
Element x y z (fractional)
Be (0.0000, 0.0000, 0.5000)
Be (0.0000, 0.5000, 0.0000)
Be (0.5000, 0.0000, 0.0000)
Os (0.5000, 0.5000, 0.5000)
F (0.0000, 0.0000, 0.0000)

---

Which of them is least stable? Easy: entry i.

---

Entry i
A plane-wave DFT calculation with PBE-GGA was carried out for BePF2 after structural relaxation.

Calculated values
Crystal system ... cubic

abc: 4.0546 4.0546 4.0546
angles: 60.00 60.00 60.00
Element x y z (fractional)
Be (0.0000, 0.0000, 0.0000)
P (0.5000, 0.5000, 0.5000)
F (0.2500, 0.2500, 0.2500)
F (0.7500, 0.7500, 0.7500)

---

Entry ii
A plane-wave DFT calculation with PBE-GGA was carried out for BePF2 after structural relaxation.

Calculated values
Crystal system ... trigonal

abc: 9.8447 9.8447 9.8447
angles: 14.94 14.94 14.94
Element x y z (fractional)
Be (0.0000, 0.0000, 0.0000)
P (0.5000, 0.5000, 0.5000)
F (0.3647, 0.3647, 0.3647)
F (0.6353, 0.6353, 0.6353)

---

Which of them is least stable? Easy: entry i.

---

Entry i
A plane-wave DFT calculation with PBE-GGA was carried out for BePF2 after structural relaxation.

Calculated values
Crystal system ... trigonal

abc: 10.2728 10.2728 10.2728
angles: 15.65 15.65 15.65
Element x y z (fractional)
Be (0.0000, 0.0000, 0.0000)
P (0.5000, 0.5000, 0.5000)
F (0.0451, 0.0451, 0.0451)
F (0.9549, 0.9549, 0.9549)

---

Entry ii
A plane-wave DFT calculation with PBE-GGA was carried out for BePF2 after structural relaxation.

Calculated values
Crystal system ... cubic

abc: 5.1368 5.1368 5.1368
angles: 60.00 60.00 60.00
Element x y z (fractional)
Be (0.1250, 0.1250, 0.1250)
Be (0.8750, 0.8750, 0.8750)
P (0.3750, 0.3750, 0.3750)
P (0.6250, 0.6250, 0.6250)
F (0.0000, 0.0000, 0.0000)
F (0.0000, 0.0000, 0.5000)
F (0.0000, 0.5000, 0.0000)
F (0.5000, 0.0000, 0.0000)

---

Which of them is least stable? Easy: entry i.

---

Entry i
A plane-wave DFT calculation with PBE-GGA was carried out for BeP3F after structural relaxation.

Calculated values
Crystal system ... cubic

abc: 4.1723 4.1723 4.1723
angles: 90.00 90.00 90.00
Element x y z (fractional)
Be (0.0000, 0.0000, 0.0000)
P (0.0000, 0.0000, 0.5000)
P (0.0000, 0.5000, 0.0000)
P (0.5000, 0.0000, 0.0000)
F (0.5000, 0.5000, 0.5000)

---

Entry ii
A plane-wave DFT calculation with PBE-GGA was carried out for BeP3F after structural relaxation.

Calculated values
Crystal system ... cubic

abc: 4.2686 4.2686 4.2686
angles: 90.00 90.00 90.00
Element x y z (fractional)
Be (0.0000, 0.0000, 0.0000)
P (0.0000, 0.5000, 0.5000)
P (0.5000, 0.0000, 0.5000)
P (0.5000, 0.5000, 0.0000)
F (0.5000, 0.5000, 0.5000)

---

Which of them is least stable? Easy: entry ii.

---

Entry i
A plane-wave DFT calculation with PBE-GGA was carried out for BePS2F after structural relaxation.

Calculated values
Crystal system ... tetragonal

abc: 4.8843 4.8843 3.6163
angles: 90.00 90.00 90.00
Element x y z (fractional)
Be (0.0000, 0.0000, 0.0000)
P (0.5000, 0.5000, 0.0000)
S (0.0000, 0.5000, 0.5000)
S (0.5000, 0.0000, 0.5000)
F (0.5000, 0.5000, 0.5000)

---

Entry ii
A plane-wave DFT calculation with PBE-GGA was carried out for BePS2F after structural relaxation.

Calculated values
Crystal system ... tetragonal

abc: 4.1182 4.1182 4.4315
angles: 90.00 90.00 90.00
Element x y z (fractional)
Be (0.0000, 0.0000, 0.0000)
P (0.0000, 0.0000, 0.5000)
S (0.0000, 0.5000, 0.0000)
S (0.5000, 0.0000, 0.0000)
F (0.5000, 0.5000, 0.5000)

---

Which of them is least stable? Easy: entry i.

---

Entry i
A plane-wave DFT calculation with PBE-GGA was carried out for BePbF4 after structural relaxation.

Calculated values
Crystal system ... tetragonal

abc: 6.1718 6.1718 6.1718
angles: 106.05 106.05 116.56
Element x y z (fractional)
Be (0.3750, 0.6250, 0.7500)
Be (0.6250, 0.3750, 0.2500)
Pb (0.1250, 0.8750, 0.2500)
Pb (0.8750, 0.1250, 0.7500)
F (0.2256, 0.3078, 0.5822)
F (0.2256, 0.6434, 0.9178)
F (0.3078, 0.2256, 0.0822)
F (0.3566, 0.7744, 0.5822)
F (0.6434, 0.2256, 0.4178)
F (0.6922, 0.7744, 0.9178)
F (0.7744, 0.3566, 0.0822)
F (0.7744, 0.6922, 0.4178)

---

Entry ii
A plane-wave DFT calculation with PBE-GGA was carried out for BePbF4 after structural relaxation.

Calculated values
Crystal system ... orthorhombic

abc: 9.2368 5.4037 7.3673
angles: 90.00 90.00 90.00
Element x y z (fractional)
Be (0.0791, 0.2500, 0.2493)
Be (0.4209, 0.7500, 0.7493)
Be (0.5791, 0.2500, 0.2507)
Be (0.9209, 0.7500, 0.7507)
Pb (0.2150, 0.2500, 0.7500)
Pb (0.2850, 0.7500, 0.2500)
Pb (0.7150, 0.2500, 0.7500)
Pb (0.7850, 0.7500, 0.2500)
F (0.0108, 0.5080, 0.7520)
F (0.0108, 0.9920, 0.7520)
F (0.1833, 0.2500, 0.4185)
F (0.1859, 0.2500, 0.0824)
F (0.3141, 0.7500, 0.5824)
F (0.3167, 0.7500, 0.9185)
F (0.4892, 0.0080, 0.2520)
F (0.4892, 0.4920, 0.2520)
F (0.5108, 0.5080, 0.7480)
F (0.5108, 0.9920, 0.7480)
F (0.6833, 0.2500, 0.0815)
F (0.6859, 0.2500, 0.4176)
F (0.8141, 0.7500, 0.9176)
F (0.8167, 0.7500, 0.5815)
F (0.9892, 0.0080, 0.2480)
F (0.9892, 0.4920, 0.2480)

---

Which of them is least stable? Easy: entry ii.